No. 1
A geometry-optimized Li4In2Sn5 structure, computed with PBE.

## Properties
D(E_F)	3.281	states/eV/cell
spin magnetization	0.000	Bohr magnetons per cell
DFT formation energy	-204	meV/atom

abc: 7.3294 3.1828 10.7843
angles: 90.00 96.98 90.00
Closest atoms and distances in Å follow each position.
Space group P2/m (No. 10)
Inequivalent atoms, fractional coordinates:
Li: 0.0262 0.0000 0.3584 x2  6 Sn 3.00-3.16, 4 Li 3.01-3.18, 2 In 3.07
Li: 0.3574 0.0000 0.7769 x2  6 Sn 2.90-2.97, 2 In 2.92, 3 Li 3.01-3.18
In: 0.0810 0.5000 0.8834 x2  3 In 2.91-3.18, 4 Li 2.92-3.07, 2 Sn 3.14-3.17
Sn: 0.2997 0.5000 0.5436 x2  6 Li 2.96-3.16, 5 Sn 3.12-3.30
Sn: 0.3215 0.5000 0.2563 x2  4 Li 2.90-3.00, 4 Sn 3.12-3.20, 1 In 3.14
Sn: 0.5000 0.5000 0.0000 x1  4 Li 2.97, 2 In 3.17, 4 Sn 3.18-3.20

---

No. 2
A geometry-optimized CeZn12Au6 structure, computed with PBE.

## Properties
D(E_F)	38.184	states/eV/cell
spin magnetization	3.712	Bohr magnetons per cell
DFT formation energy	-208	meV/atom

abc: 11.5560 11.5560 8.9280
angles: 90.00 90.00 120.00
Closest atoms and distances in Å follow each position.
Space group R-3m (No. 166, hexagonal axes)
Inequivalent atoms, fractional coordinates:
Ce: 0.0000 0.0000 0.0000 x3  6 Zn 3.20
Zn: 0.0000 0.3916 0.5000 x18  3 Zn 2.50-2.80, 4 Au 2.58-2.67
Zn: 0.0830 0.1661 0.3063 x18  4 Au 2.68-2.87, 4 Zn 2.80-2.88
Au: 0.0461 0.5231 0.2411 x18  8 Zn 2.58-2.87

---

No. 3
A geometry-optimized AcHg2S structure, computed with PBE.

## Properties
energy above the most stable polymorph in this dataset	1169.0	meV/atom
uncorrected formation energy	11.9	kJ/mol of atoms
D(E_F)	11.663	states/eV/cell
spin magnetization	0.000	Bohr magnetons per cell

abc: 4.0554 4.0554 28.6107
angles: 90.00 90.00 120.00
Closest atoms and distances in Å follow each position.
Space group R-3m (No. 166, hexagonal axes)
Inequivalent atoms, fractional coordinates:
Ac: 0.0000 0.0000 0.0000 x3  2 Hg 3.21
Hg: 0.0000 0.0000 0.1122 x6  3 S 2.81
S: 0.0000 0.0000 0.5000 x3  6 Hg 2.81

---

No. 4
A geometry-optimized Ac12La7Sm structure, computed with PBE.

## Properties
energy above the most stable polymorph in this dataset	412.8	meV/atom
D(E_F)	68.576	states/eV/cell
spin magnetization	0.000	Bohr magnetons per cell
DFT formation energy	591	meV/atom

abc: 12.2832 12.2832 12.2832
angles: 90.00 90.00 90.00
Closest atoms and distances in Å follow each position.
Space group Im-3 (No. 204)
Inequivalent atoms, fractional coordinates:
Ac: 0.0000 0.2720 0.2011 x24  2 La 3.14
La: 0.0000 0.0000 0.5000 x6  4 Ac 3.73
La: 0.2500 0.2500 0.2500 x8  6 Ac 3.14
Sm: 0.0000 0.0000 0.0000 x2  12 Ac 4.16

---

Question: spin magnetization of number 1 (Li4In2Sn5)?
Answer: 0.000 Bohr magnetons per cell

---

Question: What is the spin magnetization in the second record?
Answer: 3.712 Bohr magnetons per cell

---

Please write out number 2 again, unchanged.
A geometry-optimized CeZn12Au6 structure, computed with PBE.

## Properties
D(E_F)	38.184	states/eV/cell
spin magnetization	3.712	Bohr magnetons per cell
DFT formation energy	-208	meV/atom

abc: 11.5560 11.5560 8.9280
angles: 90.00 90.00 120.00
Closest atoms and distances in Å follow each position.
Space group R-3m (No. 166, hexagonal axes)
Inequivalent atoms, fractional coordinates:
Ce: 0.0000 0.0000 0.0000 x3  6 Zn 3.20
Zn: 0.0000 0.3916 0.5000 x18  3 Zn 2.50-2.80, 4 Au 2.58-2.67
Zn: 0.0830 0.1661 0.3063 x18  4 Au 2.68-2.87, 4 Zn 2.80-2.88
Au: 0.0461 0.5231 0.2411 x18  8 Zn 2.58-2.87